[1]
A geometry-optimized PrHo2Ni structure, computed with PBE.

Cell lengths 9.2209, 9.2209, 9.2209 Å; angles 24.02, 24.02, 24.02 degrees
Last column: nearest neighbours and their distance in Å.
Fractional positions:
Pr (0.0000, 0.0000, 0.0000)  6 Ho 3.63-3.74, 6 Pr 3.84
Ho (0.2260, 0.2260, 0.2260)  3 Ni 2.68
Ho (0.4457, 0.4457, 0.4457)  3 Ni 2.70
Ni (0.8366, 0.8366, 0.8366)  6 Ho 2.68-2.70

Density in g/cm³: 7.7
Energy relative to the elements in meV/atom: -129
Uncorrected energy in eV/atom: -5.058



[2]
A geometry-optimized PrHo12Ni6 structure, computed with PBE.

Cell lengths 8.4957, 8.4957, 8.4957 Å; angles 109.47, 109.47, 109.47 degrees
Last column: nearest neighbours and their distance in Å.
Fractional positions:
Pr (0.0000, 0.0000, 0.0000)  12 Ho 3.55
Ho (0.1271, 0.3114, 0.8156)  3 Ni 2.64-2.86
Ho (0.1844, 0.4958, 0.3114)  3 Ni 2.64-2.86
Ho (0.1844, 0.8729, 0.6886)  3 Ni 2.64-2.86
Ho (0.3114, 0.1844, 0.4958)  3 Ni 2.64-2.86
Ho (0.3114, 0.8156, 0.1271)  3 Ni 2.64-2.86
Ho (0.4958, 0.3114, 0.1844)  3 Ni 2.64-2.86
Ho (0.5042, 0.6886, 0.8156)  3 Ni 2.64-2.86
Ho (0.6886, 0.1844, 0.8729)  3 Ni 2.64-2.86
Ho (0.6886, 0.8156, 0.5042)  3 Ni 2.64-2.86
Ho (0.8156, 0.1271, 0.3114)  3 Ni 2.64-2.86
Ho (0.8156, 0.5042, 0.6886)  3 Ni 2.64-2.86
Ho (0.8729, 0.6886, 0.1844)  3 Ni 2.64-2.86
Ni (0.1237, 0.5000, 0.6237)  1 Ni 2.43, 2 Ho 2.64
Ni (0.3763, 0.8763, 0.5000)  1 Ni 2.43, 2 Ho 2.64
Ni (0.5000, 0.3763, 0.8763)  1 Ni 2.43, 2 Ho 2.64
Ni (0.5000, 0.6237, 0.1237)  1 Ni 2.43, 2 Ho 2.64
Ni (0.6237, 0.1237, 0.5000)  1 Ni 2.43, 2 Ho 2.64
Ni (0.8763, 0.5000, 0.3763)  1 Ni 2.43, 2 Ho 2.64

Density in g/cm³: 8.7
Energy relative to the elements in meV/atom: -249
Uncorrected energy in eV/atom: -5.217



[3]
A geometry-optimized Pr2Ho3Ni2 structure, computed with PBE.

Cell lengths 6.4632, 6.4632, 9.1003 Å; angles 116.23, 116.23, 32.53 degrees
Last column: nearest neighbours and their distance in Å.
Fractional positions:
Pr (0.1636, 0.1636, 0.3092)  2 Ni 2.97
Pr (0.8364, 0.8364, 0.6908)  2 Ni 2.97
Ho (0.3824, 0.3824, 0.0671)  3 Ni 2.76-2.94
Ho (0.5000, 0.5000, 0.5000)  4 Ni 2.86
Ho (0.6176, 0.6176, 0.9329)  3 Ni 2.76-2.94
Ni (0.1666, 0.1666, 0.7417)  5 Ho 2.76-2.94, 2 Pr 2.97
Ni (0.8334, 0.8334, 0.2583)  5 Ho 2.76-2.94, 2 Pr 2.97

Density in g/cm³: 8.2
Energy relative to the elements in meV/atom: -235
Uncorrected energy in eV/atom: -5.214



[4]
A geometry-optimized PrHo3Ni structure, computed with PBE.

Cell lengths 5.3172, 5.3172, 5.3172 Å; angles 90.00, 90.00, 90.00 degrees
Last column: nearest neighbours and their distance in Å.
Fractional positions:
Pr (0.0000, 0.0000, 0.0000)  12 Ho 3.76
Ho (0.0000, 0.5000, 0.5000)  2 Ni 2.66
Ho (0.5000, 0.0000, 0.5000)  2 Ni 2.66
Ho (0.5000, 0.5000, 0.0000)  2 Ni 2.66
Ni (0.5000, 0.5000, 0.5000)  6 Ho 2.66

Density in g/cm³: 7.7
Energy relative to the elements in meV/atom: -89
Uncorrected energy in eV/atom: -4.948



[5]
A geometry-optimized PrHo2Ni structure, computed with PBE.

Cell lengths 9.5227, 9.5227, 9.5227 Å; angles 22.80, 22.80, 22.80 degrees
Last column: nearest neighbours and their distance in Å.
Fractional positions:
Pr (0.0000, 0.0000, 0.0000)  6 Ho 3.74, 6 Pr 3.76
Ho (0.2239, 0.2239, 0.2239)  3 Ni 2.69
Ho (0.7761, 0.7761, 0.7761)  3 Ni 2.69
Ni (0.5000, 0.5000, 0.5000)  6 Ho 2.69

Density in g/cm³: 7.7
Energy relative to the elements in meV/atom: -106
Uncorrected energy in eV/atom: -5.035



[6]
A geometry-optimized PrHoNi structure, computed with PBE.

Cell lengths 6.3675, 6.3675, 8.2760 Å; angles 124.37, 124.37, 34.17 degrees
Last column: nearest neighbours and their distance in Å.
Fractional positions:
Pr (0.1671, 0.1671, 0.0805)  3 Ni 2.85-3.14
Pr (0.8329, 0.8329, 0.9195)  3 Ni 2.85-3.14
Ho (0.4165, 0.4165, 0.6142)  4 Ni 2.79-2.94
Ho (0.5835, 0.5835, 0.3858)  4 Ni 2.79-2.94
Ni (0.1216, 0.1216, 0.6654)  1 Ni 2.59, 2 Ho 2.79, 2 Pr 2.85
Ni (0.8784, 0.8784, 0.3346)  1 Ni 2.59, 2 Ho 2.79, 2 Pr 2.85

Density in g/cm³: 8.0
Energy relative to the elements in meV/atom: -240
Uncorrected energy in eV/atom: -5.286



[7]
A geometry-optimized Pr3HoNi structure, computed with PBE.

Cell lengths 5.5040, 5.5040, 5.5040 Å; angles 90.00, 90.00, 90.00 degrees
Last column: nearest neighbours and their distance in Å.
Fractional positions:
Pr (0.0000, 0.0000, 0.5000)  2 Ni 2.75
Pr (0.0000, 0.5000, 0.0000)  2 Ni 2.75
Pr (0.5000, 0.0000, 0.0000)  2 Ni 2.75
Ho (0.5000, 0.5000, 0.5000)  12 Pr 3.89
Ni (0.0000, 0.0000, 0.0000)  6 Pr 2.75

Density in g/cm³: 6.4
Energy relative to the elements in meV/atom: 81
Uncorrected energy in eV/atom: -4.859



[8]
A geometry-optimized PrHo2Ni structure, computed with PBE.

Cell lengths 6.4467, 6.4467, 7.3301 Å; angles 90.00, 90.00, 136.06 degrees
Last column: nearest neighbours and their distance in Å.
Fractional positions:
Pr (0.0388, 0.9612, 0.7500)  1 Ni 2.80
Pr (0.9612, 0.0388, 0.2500)  1 Ni 2.80
Ho (0.3450, 0.6550, 0.5297)  3 Ni 2.72-2.94
Ho (0.3450, 0.6550, 0.9703)  3 Ni 2.72-2.94
Ho (0.6550, 0.3450, 0.0297)  3 Ni 2.72-2.94
Ho (0.6550, 0.3450, 0.4703)  3 Ni 2.72-2.94
Ni (0.1955, 0.8045, 0.2500)  6 Ho 2.72-2.94, 1 Pr 2.80
Ni (0.8045, 0.1955, 0.7500)  6 Ho 2.72-2.94, 1 Pr 2.80

Density in g/cm³: 8.3
Energy relative to the elements in meV/atom: -196
Uncorrected energy in eV/atom: -5.125



[9]
A geometry-optimized PrHoNi structure, computed with PBE.

Cell lengths 3.9255, 3.9255, 6.3299 Å; angles 90.00, 90.00, 120.00 degrees
Last column: nearest neighbours and their distance in Å.
Fractional positions:
Pr (0.0000, 0.0000, 0.0000)  3 Ni 2.81
Ho (0.3333, 0.6667, 0.4945)  3 Ni 2.70
Ni (0.6667, 0.3333, 0.2630)  3 Ho 2.70, 3 Pr 2.81

Density in g/cm³: 7.2
Energy relative to the elements in meV/atom: -114
Uncorrected energy in eV/atom: -5.160



[10]
A geometry-optimized PrHoNi2 structure, computed with PBE.

Cell lengths 4.8700, 4.8700, 4.8700 Å; angles 60.00, 60.00, 60.00 degrees
Last column: nearest neighbours and their distance in Å.
Fractional positions:
Pr (0.0000, 0.0000, 0.0000)  8 Ni 2.98
Ho (0.5000, 0.5000, 0.5000)  8 Ni 2.98
Ni (0.2500, 0.2500, 0.2500)  4 Ho 2.98, 4 Pr 2.98
Ni (0.7500, 0.7500, 0.7500)  4 Pr 2.98, 4 Ho 2.98

Density in g/cm³: 8.6
Energy relative to the elements in meV/atom: -284
Uncorrected energy in eV/atom: -5.514



[11]
A geometry-optimized Pr2HoNi structure, computed with PBE.

Cell lengths 3.5969, 3.5969, 8.6831 Å; angles 90.00, 90.00, 90.00 degrees
Last column: nearest neighbours and their distance in Å.
Fractional positions:
Pr (0.0000, 0.0000, 0.1940)  4 Ni 3.05, 1 Pr 3.37
Pr (0.0000, 0.0000, 0.8060)  4 Ni 3.05, 1 Pr 3.37
Ho (0.5000, 0.5000, 0.5000)  4 Ho 3.60, 8 Pr 3.68
Ni (0.5000, 0.5000, 0.0000)  8 Pr 3.05

Density in g/cm³: 7.5
Energy relative to the elements in meV/atom: -38
Uncorrected energy in eV/atom: -5.017



[12]
A geometry-optimized PrHoNi structure, computed with PBE.

Cell lengths 6.7774, 6.7774, 6.7774 Å; angles 150.37, 150.37, 42.40 degrees
Last column: nearest neighbours and their distance in Å.
Fractional positions:
Pr (0.0000, 0.0000, 0.0000)  4 Ni 3.08, 1 Ho 3.32
Ho (0.2627, 0.2627, 0.0000)  4 Ni 2.85
Ni (0.6479, 0.6479, 0.0000)  4 Ho 2.85, 4 Pr 3.08

Density in g/cm³: 8.0
Energy relative to the elements in meV/atom: -182
Uncorrected energy in eV/atom: -5.228